[1]
Below is an optimized crystal structure of PBrO2, with properties calculated at the PBE level.

abc: 4.7010 5.9729 12.7365
angles: 90.00 92.77 90.00
With the nearest neighbours (Å) after each atom.
Space group P2_1/c (No. 14)
Symmetry-distinct sites (fractional):
P: 0.2468 0.0387 0.4714 (multiplicity 4)  4 O 1.60-1.75
Br: 0.2274 0.2317 0.3249 (multiplicity 4)  1 P 2.19
O: 0.0554 0.1206 0.5650 (multiplicity 4)  2 P 1.60-1.75
O: 0.4503 0.6772 0.9769 (multiplicity 4)  2 P 1.61-1.75

---

[2]
Below is an optimized crystal structure of ScCBr, with properties calculated at the PBE level.

abc: 3.7038 3.7038 14.1928
angles: 90.00 90.00 120.00
With the nearest neighbours (Å) after each atom.
Space group R3m (No. 160, hexagonal axes)
Symmetry-distinct sites (fractional):
Sc: 0.0000 0.0000 0.0000 (multiplicity 3)  3 C 2.23
C: 0.0000 0.0000 0.3788 (multiplicity 3)  1 Br 2.06, 3 Sc 2.23
Br: 0.0000 0.0000 0.5238 (multiplicity 3)  1 C 2.06

---

[3]
Below is an optimized crystal structure of KTaBi2H, with properties calculated at the PBE level.

abc: 5.5130 5.5130 3.7663
angles: 90.00 90.00 90.00
With the nearest neighbours (Å) after each atom.
Space group P4/mmm (No. 123)
Symmetry-distinct sites (fractional):
K: 0.0000 0.0000 0.0000 (multiplicity 1)  8 Bi 3.34
Ta: 0.5000 0.5000 0.0000 (multiplicity 1)  2 H 1.88
Bi: 0.0000 0.5000 0.5000 (multiplicity 2)  2 H 2.76
H: 0.5000 0.5000 0.5000 (multiplicity 1)  2 Ta 1.88

---

[4]
Below is an optimized crystal structure of Tb2MgGe3Rh4, with properties calculated at the PBE level.

abc: 4.1091 4.1091 10.7704
angles: 90.00 90.00 90.00
With the nearest neighbours (Å) after each atom.
Space group P-4m2 (No. 115)
Symmetry-distinct sites (fractional):
Tb: 0.0000 0.5000 0.2408 (multiplicity 2)  6 Ge 3.15-3.47, 8 Rh 3.15-3.31, 2 Mg 3.47
Mg: 0.0000 0.0000 0.5000 (multiplicity 1)  4 Rh 2.58
Ge: 0.0000 0.5000 0.8719 (multiplicity 2)  5 Rh 2.44-2.47
Ge: 0.5000 0.5000 0.5000 (multiplicity 1)  4 Rh 2.58
Rh: 0.0000 0.0000 0.0000 (multiplicity 1)  4 Ge 2.47
Rh: 0.0000 0.5000 0.6455 (multiplicity 2)  3 Ge 2.44-2.58, 2 Mg 2.58
Rh: 0.5000 0.5000 0.0000 (multiplicity 1)  4 Ge 2.47

Computed properties:
Energy of formation = -824 meV/atom

---

[5]
Below is an optimized crystal structure of YCd2Br, with properties calculated at the PBE level.

abc: 3.6127 5.3240 5.6845
angles: 90.00 90.00 90.00
With the nearest neighbours (Å) after each atom.
Space group Pmm2 (No. 25)
Symmetry-distinct sites (fractional):
Y: 0.0000 0.0000 0.0000 (multiplicity 1)  2 Br 2.87
Cd: 0.5000 0.0000 0.4886 (multiplicity 1)  2 Cd 2.94
Cd: 0.5000 0.5000 0.2678 (multiplicity 1)  2 Cd 2.94, 2 Br 3.15
Br: 0.0000 0.5000 0.8135 (multiplicity 1)  2 Y 2.87, 2 Cd 3.15

---

[6]
Below is an optimized crystal structure of PaB2Os, with properties calculated at the PBE level.

abc: 3.4319 5.1219 6.5363
angles: 90.00 90.00 90.00
With the nearest neighbours (Å) after each atom.
Space group Amm2 (No. 38)
Symmetry-distinct sites (fractional):
Pa: 0.0000 0.0000 0.0000 (multiplicity 2)  8 B 2.72-2.77
B: 0.5000 0.1646 0.2958 (multiplicity 4)  1 B 1.69
Os: 0.5000 0.0000 0.5995 (multiplicity 2)  4 B 2.14-2.16

Computed properties:
Energy of formation = -285 meV/atom

---

[7]
Below is an optimized crystal structure of AcTbSb2, with properties calculated at the PBE level.

abc: 4.5500 4.5500 23.5703
angles: 90.00 90.00 120.00
With the nearest neighbours (Å) after each atom.
Space group R3m (No. 160, hexagonal axes)
Symmetry-distinct sites (fractional):
Ac: 0.0000 0.0000 0.0000 (multiplicity 3)  6 Sb 3.33-3.40
Tb: 0.0000 0.0000 0.8294 (multiplicity 3)  6 Sb 3.18-3.22
Sb: 0.0000 0.0000 0.4200 (multiplicity 3)  3 Tb 3.18, 3 Ac 3.33
Sb: 0.0000 0.0000 0.5751 (multiplicity 3)  3 Tb 3.22, 3 Ac 3.40

---

[8]
Below is an optimized crystal structure of SmHg2Au, with properties calculated at the PBE level.

abc: 4.4028 8.3203 5.6683
angles: 90.00 112.48 90.00
With the nearest neighbours (Å) after each atom.
Space group P2_1/m (No. 11)
Symmetry-distinct sites (fractional):
Sm: 0.0709 0.2500 0.1393 (multiplicity 2)  3 Au 3.06-3.11, 4 Hg 3.40
Hg: 0.3658 0.0512 0.7344 (multiplicity 4)  3 Au 2.90-2.93, 1 Hg 2.91
Au: 0.2279 0.7500 0.4547 (multiplicity 2)  6 Hg 2.90-2.93, 3 Sm 3.06-3.11

Computed properties:
Energy of formation = -429 meV/atom

---

[9]
Below is an optimized crystal structure of Sb2TeSe2, with properties calculated at the PBE level.

abc: 8.8663 8.8663 3.8093
angles: 90.00 90.00 90.00
With the nearest neighbours (Å) after each atom.
Space group P4/mbm (No. 127)
Symmetry-distinct sites (fractional):
Sb: 0.2208 0.2792 0.0000 (multiplicity 4)  2 Se 2.65
Te: 0.0000 0.0000 0.0000 (multiplicity 2)  4 Sb 3.16
Se: 0.1327 0.6327 0.5000 (multiplicity 4)  2 Sb 2.65

---

[10]
Below is an optimized crystal structure of Rb2U3GaO12, with properties calculated at the PBE level.

abc: 7.9486 7.9486 17.8117
angles: 90.00 90.00 120.00
With the nearest neighbours (Å) after each atom.
Space group R-3m (No. 166, hexagonal axes)
Symmetry-distinct sites (fractional):
Rb: 0.0000 0.0000 0.1275 (multiplicity 6)  9 O 3.35-3.65
U: 0.0000 0.5000 0.0000 (multiplicity 9)  6 O 1.97-2.14
Ga: 0.0000 0.0000 0.5000 (multiplicity 3)  6 O 1.99
O: 0.0768 0.5384 0.3601 (multiplicity 18)  2 U 2.14
O: 0.0921 0.5461 0.1046 (multiplicity 18)  1 U 1.97, 1 Ga 1.99

---

[11]
Below is an optimized crystal structure of LiMg2SiAg, with properties calculated at the PBE level.

abc: 5.0377 5.0377 4.6391
angles: 90.00 90.00 90.00
With the nearest neighbours (Å) after each atom.
Space group P4/mmm (No. 123)
Symmetry-distinct sites (fractional):
Li: 0.0000 0.0000 0.0000 (multiplicity 1)  2 Ag 2.32
Mg: 0.0000 0.5000 0.5000 (multiplicity 2)  2 Ag 2.52
Si: 0.5000 0.5000 0.0000 (multiplicity 1)  8 Mg 3.42, 4 Li 3.56
Ag: 0.0000 0.0000 0.5000 (multiplicity 1)  2 Li 2.32, 4 Mg 2.52

---

[12]
Below is an optimized crystal structure of Sc2Pd3Au2, with properties calculated at the PBE level.

abc: 9.2896 3.9598 6.6030
angles: 90.00 96.83 90.00
With the nearest neighbours (Å) after each atom.
Space group C2/m (No. 12)
Symmetry-distinct sites (fractional):
Sc: 0.0804 0.0000 0.2417 (multiplicity 4)  6 Pd 2.77-2.94, 5 Au 2.94-2.99
Pd: 0.0000 0.5000 0.5000 (multiplicity 2)  4 Sc 2.77, 6 Pd 2.88-2.91, 2 Au 2.92
Pd: 0.2142 0.0000 0.6395 (multiplicity 4)  4 Sc 2.77-2.94, 5 Pd 2.84-2.91, 3 Au 2.87-3.06
Au: 0.1368 0.5000 0.9214 (multiplicity 4)  3 Au 2.86-2.98, 4 Pd 2.87-3.06, 5 Sc 2.94-2.99

Computed properties:
Energy of formation = -811 meV/atom

---

Number 1: energy -22.56 eV per formula unit. Number 2: energy -17.16 eV per formula unit. Number 3: energy -21.66 eV per formula unit. Number 4: energy -62.35 eV per formula unit. Number 5: energy -11.74 eV per formula unit. Number 6: energy -35.22 eV per formula unit. Number 7: energy -21.11 eV per formula unit. Number 8: energy -10.32 eV per formula unit. Number 9: energy -18.70 eV per formula unit. Number 10: energy -145.64 eV per formula unit. Number 11: energy -11.30 eV per formula unit. Number 12: energy -40.47 eV per formula unit.